A plane-wave DFT calculation with GGA+U was carried out for an optimized crystal structure of CaMnFe2O4.

Total DFT energy (no corrections): -6.7444 eV per atom
Total moment: 1.624 μB/atom

Geometry as CIF:
```
data_CaMnFe2O4
_chemical_formula_sum 'Ca4 Mn4 Fe8 O16'
_cell_length_a 3.153
_cell_length_b 11.127
_cell_length_c 11.255
_cell_angle_alpha 90.00
_cell_angle_beta 90.00
_cell_angle_gamma 90.00
_symmetry_space_group_name_H-M 'C m c m'
_symmetry_Int_Tables_number 63
_symmetry_space_group_name_Hall '-C 2c 2'
loop_
_atom_site_label
_atom_site_fract_x
_atom_site_fract_y
_atom_site_fract_z
Ca1 0.000 0.160 0.250
Mn1 0.000 0.102 0.750
Fe1 0.000 0.373 0.024
O1 0.000 0.000 0.000
O2 0.000 0.236 0.614
O3 0.000 0.488 0.750
```